(1)
A relaxed Mg2SiIr crystal. Source: Alexandria via LeMat-Bulk, functional PBE.

Summary:
ρ: 5.5 Mg/m³
Formation energy (no corrections): -0.358 eV per atom
Fermi-level density of states: 3.0 states/eV per cell

The structure in POSCAR format:
```
Mg2SiIr
1.0
-3.774 -2.244 1.165
0.319 -5.159 -0.047
0.361 -1.073 7.957
Mg Si Ir
4 2 2
Direct
0.054 0.249 0.400
0.946 0.751 0.600
0.296 0.749 0.900
0.704 0.251 0.100
0.628 0.750 0.250
0.372 0.250 0.750
0.873 0.250 0.750
0.127 0.750 0.250
```

---

(2)
A relaxed Mg2Si7Ir12 crystal. Source: Alexandria via LeMat-Bulk, functional PBE.

Summary:
ρ: 13.5 Mg/m³
Formation energy (no corrections): -0.592 eV per atom
Fermi-level density of states: 8.4 states/eV per cell

The structure in POSCAR format:
```
Mg2Si7Ir12
1.0
-2.471 -2.693 1.239
7.125 -4.242 4.990
-5.398 6.870 4.163
Mg Si Ir
2 7 12
Direct
0.500 0.000 0.000
0.000 0.667 0.333
0.000 0.333 0.667
0.000 0.041 0.786
0.000 0.745 0.959
0.000 0.214 0.255
0.500 0.622 0.548
0.500 0.926 0.378
0.500 0.452 0.074
0.500 0.888 0.608
0.500 0.720 0.112
0.500 0.392 0.280
0.500 0.236 0.797
0.500 0.562 0.764
0.500 0.203 0.438
0.000 0.060 0.550
0.000 0.490 0.940
0.000 0.450 0.510
0.000 0.774 0.734
0.000 0.959 0.226
0.000 0.266 0.041
```

---

(3)
A relaxed Mg3Si8Ir3 crystal. Source: Alexandria via LeMat-Bulk, functional PBE.

Summary:
ρ: 6.3 Mg/m³
Formation energy (no corrections): -0.469 eV per atom
Fermi-level density of states: 10.2 states/eV per cell

The structure in POSCAR format:
```
Mg3Si8Ir3
1.0
-1.027 8.498 -1.393
-7.970 3.400 -0.380
-2.835 5.130 6.392
Ir Mg Si
6 6 16
Direct
0.255 0.745 0.745
0.745 0.255 0.255
0.745 0.745 0.255
0.255 0.255 0.745
0.745 0.255 0.745
0.255 0.745 0.255
0.651 0.651 0.651
0.651 0.046 0.651
0.651 0.651 0.046
0.046 0.651 0.651
0.000 0.000 0.000
0.250 0.250 0.250
0.030 0.609 0.030
0.030 0.331 0.030
0.609 0.030 0.331
0.331 0.030 0.609
0.609 0.030 0.030
0.331 0.030 0.030
0.030 0.331 0.609
0.030 0.609 0.331
0.030 0.030 0.609
0.030 0.030 0.331
0.331 0.609 0.030
0.609 0.331 0.030
0.426 0.426 0.426
0.426 0.722 0.426
0.426 0.426 0.722
0.722 0.426 0.426
```

---

(4)
A relaxed Mg2SiIr crystal. Source: Alexandria via LeMat-Bulk, functional PBE.

Summary:
ρ: 6.6 Mg/m³
Formation energy (no corrections): -0.298 eV per atom
Fermi-level density of states: 2.0 states/eV per cell

The structure in POSCAR format:
```
Mg2SiIr
1.0
5.207 0.004 -0.006
4.339 2.878 -0.006
1.399 0.422 4.493
Ir Mg Si
1 2 1
Direct
0.779 0.779 0.757
0.026 0.026 0.951
0.230 0.230 0.287
0.465 0.465 0.505
```